# 1
# NaLiTe2

A geometry-optimized NaLiTe2 structure (PBE, the Alexandria database).

```
NaLiTe2
1.0
-2.869 2.869 8.760
2.869 -2.869 8.760
2.869 2.869 -8.760
Na Li Te
2 2 4
Cartesian
0.000 0.000 0.000
0.000 2.869 4.380
2.869 0.000 4.380
0.000 0.000 8.760
1.435 -0.496 6.570
2.373 1.435 2.190
1.435 3.365 -2.190
0.496 1.435 10.951
```

The calculation puts the formation energy without anion corrections at -0.60 eV per atom. The calculation puts the raw total energy at -2.982 eV per atom.


# 2
# Ca2Sb2Au

A geometry-optimized Ca2Sb2Au structure (PBE, the Alexandria database).

```
Ca2Sb2Au
1.0
9.004 0.000 0.000
0.000 9.004 0.000
0.000 0.000 3.518
Ca Sb Au
4 4 2
Cartesian
1.227 3.275 0.000
3.275 7.777 0.000
5.729 1.227 0.000
7.777 5.729 0.000
1.512 6.014 1.759
2.990 1.512 1.759
6.014 7.492 1.759
7.492 2.990 1.759
0.000 0.000 0.000
4.502 4.502 0.000
```

The calculation puts the formation energy without anion corrections at -0.39 eV per atom. The calculation puts the raw total energy at -3.493 eV per atom.


# 3
# La2CoRh

A geometry-optimized La2CoRh structure (PBE, the Alexandria database).

```
La2CoRh
1.0
4.084 0.000 0.000
0.000 4.084 0.000
0.000 0.000 5.768
La Co Rh
2 1 1
Cartesian
0.000 0.000 0.000
2.042 2.042 2.884
0.000 0.000 2.884
2.042 2.042 0.000
```

The calculation puts the raw total energy at -6.289 eV per atom. The formation energy comes out at -0.211 eV/atom.


Energy above the most stable polymorph in this dataset
In order: 0.041, 0.286, 0.182
Unit: eV/atom